An optimized crystal structure of AcSbS4, computed with PBE-GGA.

Its calculated volume is 24.8 Å³ per atom. The density of states at the Fermi level comes out at 2.359 states/eV/f.u. The crystal system is monoclinic. As for the magnetization: 0.00 μB/f.u. The uncorrected formation energy is -5.113 eV per formula unit.

It has space group C2/c (No. 15), with a = 13.898 Å, b = 6.158 Å, c = 7.224 Å, α = 90.00°, β = 106.02° and γ = 90.00°. The inequivalent atoms are Ac at (0.000, 0.177, 0.250), Sb at (0.250, 0.250, 0.000), S at (0.079, 0.391, 0.949) and S at (0.172, 0.069, 0.651).

An optimized crystal structure of MgBiP3, computed with PBE-GGA.

Its calculated volume is 22.5 Å³ per atom. For the polymorph energy (0 for the lowest one), the calculation gives 0 meV per atom. The value obtained for the energy of formation from the pure elements is 74.8 kJ/mol of atoms. The density of states at the Fermi level comes out at 5.240 states/eV/f.u. The crystal system is cubic. As for the magnetization: 0.00 μB/f.u.

It has space group Pm-3m (No. 221), with a = 4.829 Å, b = 4.829 Å, c = 4.829 Å, α = 90.00°, β = 90.00° and γ = 90.00°. The inequivalent atoms are Mg at (0.000, 0.000, 0.000), Bi at (0.500, 0.500, 0.500) and P at (0.000, 0.000, 0.500).

An optimized crystal structure of CePmSi3, computed with PBE-GGA.

Its calculated volume is 21.3 Å³ per atom. For the polymorph energy (0 for the lowest one), the calculation gives 0 meV per atom. The density of states at the Fermi level comes out at 4.945 states/eV/f.u. The crystal system is orthorhombic. As for the magnetization: 0.04 μB/f.u. The uncorrected formation energy is -3.551 eV per formula unit.

It has space group Cmcm (No. 63), with a = 4.294 Å, b = 24.792 Å, c = 3.997 Å, α = 90.00°, β = 90.00° and γ = 90.00°. The inequivalent atoms are Ce at (0.000, 0.069, 0.250), Pm at (0.000, 0.202, 0.750), Si at (0.000, 0.326, 0.750), Si at (0.000, 0.383, 0.250) and Si at (0.000, 0.476, 0.250).

An optimized crystal structure of Ba6Hg3O, computed with PBE-GGA.

Its calculated volume is 40.7 Å³ per atom. For the polymorph energy (0 for the lowest one), the calculation gives 32 meV per atom. The density of states at the Fermi level comes out at 10.357 states/eV/f.u. The crystal system is monoclinic. As for the magnetization: 0.00 μB/f.u. The uncorrected formation energy is -7.431 eV per formula unit.

It has space group P2_1/c (No. 14), with a = 8.093 Å, b = 8.862 Å, c = 13.265 Å, α = 90.00°, β = 121.26° and γ = 90.00°. The inequivalent atoms are Ba at (0.090, 0.032, 0.224), Ba at (0.202, 0.703, 0.062), Ba at (0.360, 0.162, 0.059), Hg at (0.305, 0.111, 0.758), Hg at (0.500, 0.000, 0.500) and O at (0.000, 0.000, 0.000).

An optimized crystal structure of Ca2Tl9In, computed with PBE-GGA.

Its calculated volume is 29.2 Å³ per atom. The value obtained for the energy of formation from the pure elements is -12.8 kJ/mol of atoms. The density of states at the Fermi level comes out at 7.862 states/eV/f.u. The crystal system is tetragonal. As for the magnetization: 0.00 μB/f.u.

It has space group P4/mmm (No. 123), with a = 4.940 Å, b = 4.940 Å, c = 14.378 Å, α = 90.00°, β = 90.00° and γ = 90.00°. The inequivalent atoms are Ca at (0.000, 0.000, 0.165), Tl at (0.000, 0.500, 0.000), Tl at (0.000, 0.500, 0.336), Tl at (0.500, 0.500, 0.163), Tl at (0.500, 0.500, 0.500) and In at (0.000, 0.000, 0.500).

An optimized crystal structure of Mg5NiAg4, computed with PBE-GGA.

Its calculated volume is 17.7 Å³ per atom. The value obtained for the energy of formation from the pure elements is -20.4 kJ/mol of atoms. The density of states at the Fermi level comes out at 3.138 states/eV/f.u. The crystal system is tetragonal. As for the magnetization: 0.00 μB/f.u.

It has space group P4/mmm (No. 123), with a = 3.277 Å, b = 3.277 Å, c = 16.496 Å, α = 90.00°, β = 90.00° and γ = 90.00°. The inequivalent atoms are Mg at (0.000, 0.000, 0.000), Mg at (0.000, 0.000, 0.206), Mg at (0.000, 0.000, 0.413), Ni at (0.500, 0.500, 0.500), Ag at (0.500, 0.500, 0.103) and Ag at (0.500, 0.500, 0.311).

Repeat the fourth record exactly.
An optimized crystal structure of Ba6Hg3O, computed with PBE-GGA.

Its calculated volume is 40.7 Å³ per atom. For the polymorph energy (0 for the lowest one), the calculation gives 32 meV per atom. The density of states at the Fermi level comes out at 10.357 states/eV/f.u. The crystal system is monoclinic. As for the magnetization: 0.00 μB/f.u. The uncorrected formation energy is -7.431 eV per formula unit.

It has space group P2_1/c (No. 14), with a = 8.093 Å, b = 8.862 Å, c = 13.265 Å, α = 90.00°, β = 121.26° and γ = 90.00°. The inequivalent atoms are Ba at (0.090, 0.032, 0.224), Ba at (0.202, 0.703, 0.062), Ba at (0.360, 0.162, 0.059), Hg at (0.305, 0.111, 0.758), Hg at (0.500, 0.000, 0.500) and O at (0.000, 0.000, 0.000).